(1)
Below is a relaxed K3PmSb2O6 crystal, with properties calculated at the PBE level.

Calculated values
The calculation puts the formation energy (no corrections) at -23.71 eV per formula unit.

The structure in CIF format:
```
data_K3PmSb2O6
_chemical_formula_sum 'K3 Pm1 Sb2 O6'
_cell_length_a 6.220
_cell_length_b 6.220
_cell_length_c 7.247
_cell_angle_alpha 90.00
_cell_angle_beta 90.00
_cell_angle_gamma 120.00
_space_group_name_H-M_alt 'P 1'
_space_group_IT_number 1
loop_
_space_group_symop_operation_xyz
'x,y,z'
loop_
_atom_site_label
_atom_site_type_symbol
_atom_site_fract_x
_atom_site_fract_y
_atom_site_fract_z
O1 O 0.826 0.652 0.694
O2 O 0.826 0.174 0.694
O3 O 0.174 0.826 0.306
O4 O 0.348 0.174 0.694
O5 O 0.652 0.826 0.306
O6 O 0.174 0.348 0.306
Sb1 Sb 0.667 0.333 0.825
Sb2 Sb 0.333 0.667 0.175
Pm1 Pm 0.000 0.000 0.500
K1 K 0.667 0.333 0.355
K2 K 0.000 0.000 0.000
K3 K 0.333 0.667 0.645
```

=====

(2)
Below is a relaxed RbPSe2Br crystal, with properties calculated at the PBE level.

Calculated values
The calculation puts the formation energy (no corrections) at 5.44 eV per formula unit. The value obtained for the energy above the most stable polymorph in this dataset is 1426 meV per atom.

The structure in CIF format:
```
data_RbPSe2Br
_chemical_formula_sum 'Rb1 P1 Se2 Br1'
_cell_length_a 7.048
_cell_length_b 7.048
_cell_length_c 6.570
_cell_angle_alpha 90.00
_cell_angle_beta 90.00
_cell_angle_gamma 90.00
_space_group_name_H-M_alt 'P 1'
_space_group_IT_number 1
loop_
_space_group_symop_operation_xyz
'x,y,z'
loop_
_atom_site_label
_atom_site_type_symbol
_atom_site_fract_x
_atom_site_fract_y
_atom_site_fract_z
Se1 Se 0.500 0.000 0.000
Se2 Se 0.000 0.500 0.000
Br1 Br 0.000 0.000 0.500
Rb1 Rb 0.000 0.000 0.000
P1 P 0.500 0.500 0.500
```

=====

(3)
Below is a relaxed Ca2CdPd2 crystal, with properties calculated at the PBE level.

Calculated values
As for the formation energy: -36.1 kJ/mol of atoms.

The structure in CIF format:
```
data_Ca2CdPd2
_chemical_formula_sum 'Ca2 Cd1 Pd2'
_cell_length_a 3.879
_cell_length_b 3.879
_cell_length_c 8.733
_cell_angle_alpha 77.17
_cell_angle_beta 77.17
_cell_angle_gamma 90.00
_space_group_name_H-M_alt 'P 1'
_space_group_IT_number 1
loop_
_space_group_symop_operation_xyz
'x,y,z'
loop_
_atom_site_label
_atom_site_type_symbol
_atom_site_fract_x
_atom_site_fract_y
_atom_site_fract_z
Ca1 Ca 0.619 0.619 0.763
Ca2 Ca 0.381 0.381 0.237
Cd1 Cd 0.000 0.000 0.000
Pd1 Pd 0.750 0.250 0.500
Pd2 Pd 0.250 0.750 0.500
```

=====

(4)
Below is a relaxed Re2AgPb2 crystal, with properties calculated at the PBE level.

Calculated values
As for the formation energy: 84.7 kJ/mol of atoms. The value obtained for the energy above the most stable polymorph in this dataset is 0 meV per atom.

The structure in CIF format:
```
data_Re2AgPb2
_chemical_formula_sum 'Re4 Ag2 Pb4'
_cell_length_a 6.987
_cell_length_b 6.987
_cell_length_c 4.281
_cell_angle_alpha 90.00
_cell_angle_beta 90.00
_cell_angle_gamma 90.00
_space_group_name_H-M_alt 'P 1'
_space_group_IT_number 1
loop_
_space_group_symop_operation_xyz
'x,y,z'
loop_
_atom_site_label
_atom_site_type_symbol
_atom_site_fract_x
_atom_site_fract_y
_atom_site_fract_z
Re1 Re 0.379 0.879 0.000
Re2 Re 0.879 0.621 0.000
Re3 Re 0.121 0.379 0.000
Re4 Re 0.621 0.121 0.000
Pb1 Pb 0.177 0.677 0.500
Pb2 Pb 0.323 0.177 0.500
Pb3 Pb 0.677 0.823 0.500
Pb4 Pb 0.823 0.323 0.500
Ag1 Ag 0.500 0.500 0.000
Ag2 Ag 0.000 0.000 0.000
```

=====

(5)
Below is a relaxed CsK2OsO4 crystal, with properties calculated at the PBE level.

Calculated values
The calculation puts the formation energy (no corrections) at -10.72 eV per formula unit.

The structure in CIF format:
```
data_CsK2OsO4
_chemical_formula_sum 'Cs1 K2 Os1 O4'
_cell_length_a 6.055
_cell_length_b 6.055
_cell_length_c 6.055
_cell_angle_alpha 99.05
_cell_angle_beta 114.92
_cell_angle_gamma 114.92
_space_group_name_H-M_alt 'P 1'
_space_group_IT_number 1
loop_
_space_group_symop_operation_xyz
'x,y,z'
loop_
_atom_site_label
_atom_site_type_symbol
_atom_site_fract_x
_atom_site_fract_y
_atom_site_fract_z
O1 O 0.994 0.290 0.694
O2 O 0.404 0.703 0.710
O3 O 0.006 0.700 0.297
O4 O 0.596 0.306 0.300
K1 K 0.500 0.750 0.250
K2 K 0.000 0.000 0.000
Cs1 Cs 0.500 0.250 0.750
Os1 Os 0.000 0.500 0.500
```

=====

(6)
Below is a relaxed BeZnPt2 crystal, with properties calculated at the PBE level.

Calculated values
As for the formation energy: -2.1 kJ/mol of atoms. The value obtained for the energy above the most stable polymorph in this dataset is 657 meV per atom.

The structure in CIF format:
```
data_BeZnPt2
_chemical_formula_sum 'Be1 Zn1 Pt2'
_cell_length_a 5.536
_cell_length_b 5.536
_cell_length_c 5.536
_cell_angle_alpha 57.48
_cell_angle_beta 151.54
_cell_angle_gamma 131.18
_space_group_name_H-M_alt 'P 1'
_space_group_IT_number 1
loop_
_space_group_symop_operation_xyz
'x,y,z'
loop_
_atom_site_label
_atom_site_type_symbol
_atom_site_fract_x
_atom_site_fract_y
_atom_site_fract_z
Pt1 Pt 0.000 0.220 0.220
Pt2 Pt 0.000 0.780 0.780
Zn1 Zn 0.000 0.500 0.500
Be1 Be 0.000 0.000 0.000
```

=====

(7)
Below is a relaxed Cs3LiPu2Se6 crystal, with properties calculated at the PBE level.

Calculated values
The calculation puts the formation energy (no corrections) at -15.24 eV per formula unit.

The structure in CIF format:
```
data_Cs3LiPu2Se6
_chemical_formula_sum 'Cs3 Li1 Pu2 Se6'
_cell_length_a 7.437
_cell_length_b 7.437
_cell_length_c 8.618
_cell_angle_alpha 98.15
_cell_angle_beta 98.15
_cell_angle_gamma 120.10
_space_group_name_H-M_alt 'P 1'
_space_group_IT_number 1
loop_
_space_group_symop_operation_xyz
'x,y,z'
loop_
_atom_site_label
_atom_site_type_symbol
_atom_site_fract_x
_atom_site_fract_y
_atom_site_fract_z
Se1 Se 0.713 0.713 0.177
Se2 Se 0.589 0.940 0.817
Se3 Se 0.411 0.060 0.183
Se4 Se 0.287 0.287 0.823
Se5 Se 0.940 0.589 0.817
Se6 Se 0.060 0.411 0.183
Pu1 Pu 0.333 0.667 0.000
Pu2 Pu 0.667 0.333 0.000
Cs1 Cs 0.841 0.159 0.500
Cs2 Cs 0.159 0.841 0.500
Cs3 Cs 0.500 0.500 0.500
Li1 Li 0.000 0.000 0.000
```

=====

(8)
Below is a relaxed Cs4RbAg2 crystal, with properties calculated at the PBE level.

Calculated values
As for the formation energy: 10.5 kJ/mol of atoms.

The structure in CIF format:
```
data_Cs4RbAg2
_chemical_formula_sum 'Cs8 Rb2 Ag4'
_cell_length_a 11.307
_cell_length_b 11.319
_cell_length_c 11.318
_cell_angle_alpha 72.44
_cell_angle_beta 69.54
_cell_angle_gamma 110.46
_space_group_name_H-M_alt 'P 1'
_space_group_IT_number 1
loop_
_space_group_symop_operation_xyz
'x,y,z'
loop_
_atom_site_label
_atom_site_type_symbol
_atom_site_fract_x
_atom_site_fract_y
_atom_site_fract_z
Cs1 Cs 0.324 0.221 0.104
Cs2 Cs 0.323 0.102 0.572
Cs3 Cs 0.175 0.529 0.647
Cs4 Cs 0.826 0.648 0.529
Cs5 Cs 0.174 0.645 0.178
Cs6 Cs 0.825 0.178 0.647
Cs7 Cs 0.676 0.572 0.103
Cs8 Cs 0.677 0.105 0.221
Rb1 Rb 0.500 0.750 0.750
Rb2 Rb 0.000 0.000 0.000
Ag1 Ag 0.748 0.375 0.377
Ag2 Ag 0.749 0.374 0.875
Ag3 Ag 0.251 0.376 0.375
Ag4 Ag 0.252 0.875 0.373
```